The following is a PBE calculation of a relaxed structure of Ag3GeSe4, from OQMD.

Cell lengths 6.011, 6.011, 11.746 Å; angles 90.00, 90.00, 90.00 degrees
Space group I-42m (No. 121)
Unique sites:
Ag (0.000, 0.000, 0.000)
Ag (0.000, 0.500, 0.250)
Ge (0.000, 0.000, 0.500)
Se (0.234, 0.234, 0.381)

Results
**Volume**: 26.52 Å³/atom
**Total DFT energy (no corrections)**: -3.542 eV per atom